Record 1
Below is a relaxed structure of BeReTe3, with properties calculated at the GGA-PBE level.

Cell and atoms, written as extended XYZ:
```
5
Lattice="4.8136 0.0000 0.0000 0.0000 4.8136 0.0000 0.0000 0.0000 4.8136" Properties=species:S:1:pos:R:3 pbc="T T T"
Re 2.4068 2.4068 2.4068
Te 0.0000 2.4068 0.0000
Te 0.0000 0.0000 2.4068
Te 2.4068 0.0000 0.0000
Be 0.0000 0.0000 0.0000
```

**M_tot**: 1.6 μB/f.u.
**Formation energy from raw total energies**: 1.2530 eV per atom
**Crystal system**: cubic
**E_tot**: -3.867 eV/atom
**Volume**: 111.5 Å³/f.u.
**Space group**: Pm-3m (221)
**Excess energy over the best structure of this formula in the dataset**: 92 meV per atom
**Theoretical density**: 8.6 g/cm³

***

Record 2
Below is a relaxed structure of Nd2Ga3SiPt4, with properties calculated at the GGA-PBE level.

Cell and atoms, written as extended XYZ:
```
10
Lattice="-4.0542 0.2722 -1.3690 0.8993 -2.7069 -3.2014 -2.5780 -8.0038 6.0434" Properties=species:S:1:pos:R:3 pbc="T T T"
Nd -2.6927 -1.9302 0.8757
Nd -1.4628 -7.2910 2.8826
Ga -1.2890 -4.0019 3.0217
Ga -4.2580 -6.7902 4.5453
Ga 0.1026 -2.4310 -0.7871
Si -2.8665 -5.2193 0.7365
Pt -1.5775 -1.2174 -2.2852
Pt 0.0000 0.0000 0.0000
Pt -3.6352 -4.8564 3.0852
Pt -0.5203 -4.3648 0.6730
```

**M_tot**: 0.0 μB/f.u.
**Formation energy from raw total energies**: -0.9934 eV per atom
**Crystal system**: tetragonal
**E_tot**: -5.814 eV/atom
**Volume**: 190.4 Å³/f.u.
**Space group**: P-4m2 (115)
**Theoretical density**: 11.4 g/cm³

***

Record 3
Below is a relaxed structure of Ba2PuS4, with properties calculated at the GGA-PBE level.

Cell and atoms, written as extended XYZ:
```
7
Lattice="-0.4670 -2.0817 -3.5581 8.1823 0.3680 -1.2893 -4.1424 -4.3168 5.4880" Properties=species:S:1:pos:R:3 pbc="T T T"
Ba 3.4714 -2.4522 -1.4396
Ba 0.1014 -3.5783 2.0802
Pu 0.0000 0.0000 0.0000
S -2.1420 -5.7857 1.2475
S 5.7148 -0.2448 -0.6069
S 0.3250 -2.5495 -0.9697
S 3.2479 -3.4810 1.6103
```

**M_tot**: 4.0 μB/f.u.
**Formation energy from raw total energies**: -1.7584 eV per atom
**Crystal system**: monoclinic
**E_tot**: -6.714 eV/atom
**Volume**: 204.3 Å³/f.u.
**Space group**: C2/m (12)
**Theoretical density**: 5.3 g/cm³

***

Record 4
Below is a relaxed structure of Ca6PN2Cl3, with properties calculated at the GGA-PBE level.

Cell and atoms, written as extended XYZ:
```
12
Lattice="-5.3656 3.3377 -2.0764 3.1231 -4.1769 -4.1281 -3.2076 -4.7639 4.1769" Properties=species:S:1:pos:R:3 pbc="T T T"
Ca -5.8326 -3.1066 -0.9227
Ca -2.1837 -1.5035 -3.5282
Ca 0.3825 -2.4965 -1.1050
Ca -2.7279 -5.8550 -1.6731
Ca -3.2664 -4.0995 1.5005
Ca -2.7222 0.2520 -0.3546
P 0.0000 0.0000 0.0000
N 0.2923 -1.6709 -3.4439
N -2.5348 0.8318 -2.7606
Cl 0.1027 -5.3047 -1.6973
Cl -5.5528 -0.2983 -0.3304
Cl -2.7251 -2.8015 -1.0139
```

**M_tot**: 0.0 μB/f.u.
**Formation energy from raw total energies**: -1.5689 eV per atom
**Crystal system**: monoclinic
**E_tot**: -4.870 eV/atom
**Volume**: 258.5 Å³/f.u.
**Space group**: C2/m (12)
**Theoretical density**: 2.6 g/cm³

***

Record 5
Below is a relaxed structure of Pr12In6Ir, with properties calculated at the GGA-PBE level.

Cell and atoms, written as extended XYZ:
```
19
Lattice="8.5916 0.3424 0.4102 -0.9641 8.5442 0.4102 -0.9641 -1.1232 8.4800" Properties=species:S:1:pos:R:3 pbc="T T T"
Pr 5.9060 4.6297 4.4073
Pr 2.5731 6.3698 5.3428
Pr 3.6809 3.1678 7.2220
Pr 0.7574 3.1336 4.8930
Pr 4.0903 1.3936 3.9575
Pr 2.9826 4.5956 2.0783
Pr 8.0140 0.7427 3.1619
Pr 7.1442 6.0879 0.8306
Pr 4.9345 -0.6096 8.0045
Pr -1.3506 7.0206 6.1384
Pr -0.4808 1.6754 8.4697
Pr 1.7289 8.3729 1.2958
In 4.5964 7.2813 2.8967
In 5.8292 2.9852 1.6186
In 0.1631 5.9224 3.2264
In 2.0670 0.4821 6.4036
In 0.8342 4.7781 7.6817
In 6.5003 1.8409 6.0739
Ir 0.0000 0.0000 0.0000
```

**M_tot**: 0.0 μB/f.u.
**Energy relative to the elements**: -261 meV/atom
**Crystal system**: trigonal
**E_tot**: -4.611 eV/atom
**Volume**: 632.9 Å³/f.u.
**Space group**: R-3 (148)
**Theoretical density**: 6.7 g/cm³

***

Record 6
Below is a relaxed structure of Sr2MgP3Rh4, with properties calculated at the GGA-PBE level.

Cell and atoms, written as extended XYZ:
```
10
Lattice="-3.8700 0.4996 -1.3792 -1.1853 -3.3575 2.1098 -2.1493 5.8891 8.1642" Properties=species:S:1:pos:R:3 pbc="T T T"
Sr -2.4705 1.7171 1.3446
Sr -2.2064 2.7430 7.1850
Mg -3.6023 1.5156 4.4474
P -1.0746 2.9445 4.0821
P -3.8083 5.3826 6.4262
P -0.8687 -0.9224 2.1034
Rh -2.5277 -1.4289 0.3653
Rh 0.0000 0.0000 0.0000
Rh -3.3206 4.0464 4.5738
Rh -1.3563 0.4137 3.9557
```

**M_tot**: 0.0 μB/f.u.
**Energy relative to the elements**: -821 meV/atom
**Crystal system**: tetragonal
**E_tot**: -5.880 eV/atom
**Volume**: 176.3 Å³/f.u.
**Space group**: P-4m2 (115)
**Theoretical density**: 6.6 g/cm³

***

Record 7
Below is a relaxed structure of SmHo2F8, with properties calculated at the GGA-PBE level.

Cell and atoms, written as extended XYZ:
```
11
Lattice="-3.3912 0.9005 0.5061 -1.3763 -5.4599 0.4925 3.4990 2.4684 6.6387" Properties=species:S:1:pos:R:3 pbc="T T T"
Sm -1.6956 0.4502 0.2530
Ho -0.9820 0.5820 4.8008
Ho -0.2865 -2.6730 2.8364
F 0.6664 -0.7260 5.7576
F -2.3564 -3.7190 3.2438
F -1.6101 -1.5795 4.4381
F -0.3947 1.8171 6.5382
F 0.3416 -0.5115 3.1992
F 1.0879 1.6280 4.3934
F -1.9349 -1.3650 1.8796
F -0.8738 -3.9081 1.0990
```

**M_tot**: 0.7 μB/f.u.
**Formation energy from raw total energies**: -3.8933 eV per atom
**Crystal system**: monoclinic
**E_tot**: -6.516 eV/atom
**Volume**: 144.8 Å³/f.u.
**Space group**: C2/m (12)
**Theoretical density**: 7.3 g/cm³

***

Record 8
Below is a relaxed structure of YLu2Ag, with properties calculated at the GGA-PBE level.

Cell and atoms, written as extended XYZ:
```
4
Lattice="3.3835 0.0000 0.0000 1.6917 2.9302 0.0000 1.6917 0.9767 11.3945" Properties=species:S:1:pos:R:3 pbc="T T T"
Y 0.0000 0.0000 0.0000
Lu 1.6917 0.9767 8.0456
Lu 5.0752 2.9302 3.3488
Ag 3.3835 1.9535 5.6972
```

**M_tot**: 0.1 μB/f.u.
**Energy relative to the elements**: 208 meV/atom
**Crystal system**: trigonal
**E_tot**: -4.381 eV/atom
**Volume**: 113.0 Å³/f.u.
**Space group**: R-3m (166)
**Excess energy over the best structure of this formula in the dataset**: 347 meV per atom
**Theoretical density**: 8.0 g/cm³